1.
Density functional theory data (PBE) for a relaxed Ce2YPaSe5 crystal.

Calculated values
As for the uncorrected formation energy: -105 kJ per mole of atoms. As for the volume: 32.53 A^3/atom.

Unit cell a=5.2163 b=5.2163 c=10.7581 alpha=90.00 beta=90.00 gamma=90.00
With the nearest neighbours (Å) after each atom.
Sites, in units of the cell vectors:
Ce (0.0000, 0.0000, 0.1951)  5 Se 3.28-3.35
Ce (0.0000, 0.0000, 0.8049)  5 Se 3.28-3.35
Y (0.5000, 0.5000, 0.5000)  2 Se 2.63
Pa (0.5000, 0.5000, 0.0000)  6 Se 2.61-2.75
Se (0.0000, 0.0000, 0.5000)  2 Ce 3.28
Se (0.0000, 0.5000, 0.0000)  2 Pa 2.61
Se (0.5000, 0.0000, 0.0000)  2 Pa 2.61
Se (0.5000, 0.5000, 0.2557)  1 Y 2.63, 1 Pa 2.75
Se (0.5000, 0.5000, 0.7443)  1 Y 2.63, 1 Pa 2.75

---

2.
Density functional theory data (PBE) for a relaxed Ce6PaSi3 crystal.

Calculated values
As for the uncorrected formation energy: -7 kJ per mole of atoms. As for the volume: 27.49 A^3/atom.

Unit cell a=8.3196 b=8.3196 c=8.3196 alpha=99.39 beta=99.39 gamma=99.39
With the nearest neighbours (Å) after each atom.
Sites, in units of the cell vectors:
Ce (0.0218, 0.9329, 0.6768)  1 Pa 2.70, 2 Si 2.94-2.97
Ce (0.0671, 0.3232, 0.9782)  1 Pa 2.70, 2 Si 2.94-2.97
Ce (0.1739, 0.5731, 0.4326)  1 Pa 2.86, 4 Si 2.93-3.06
Ce (0.3232, 0.9782, 0.0671)  1 Pa 2.70, 2 Si 2.94-2.97
Ce (0.4269, 0.5674, 0.8261)  1 Pa 2.86, 4 Si 2.93-3.06
Ce (0.4326, 0.1739, 0.5731)  1 Pa 2.86, 4 Si 2.93-3.06
Ce (0.5674, 0.8261, 0.4269)  1 Pa 2.86, 4 Si 2.93-3.06
Ce (0.5731, 0.4326, 0.1739)  1 Pa 2.86, 4 Si 2.93-3.06
Ce (0.6768, 0.0218, 0.9329)  1 Pa 2.70, 2 Si 2.94-2.97
Ce (0.8261, 0.4269, 0.5674)  1 Pa 2.86, 4 Si 2.93-3.06
Ce (0.9329, 0.6768, 0.0218)  1 Pa 2.70, 2 Si 2.94-2.97
Ce (0.9782, 0.0671, 0.3232)  1 Pa 2.70, 2 Si 2.94-2.97
Pa (0.0000, 0.0000, 0.0000)  6 Ce 2.70
Pa (0.5000, 0.5000, 0.5000)  6 Ce 2.86
Si (0.1354, 0.2997, 0.6361)  7 Ce 2.93-3.13
Si (0.2997, 0.6361, 0.1354)  7 Ce 2.93-3.13
Si (0.3639, 0.8646, 0.7003)  7 Ce 2.93-3.13
Si (0.6361, 0.1354, 0.2997)  7 Ce 2.93-3.13
Si (0.7003, 0.3639, 0.8646)  7 Ce 2.93-3.13
Si (0.8646, 0.7003, 0.3639)  7 Ce 2.93-3.13

---

3.
Density functional theory data (PBE) for a relaxed CePa4Si4 crystal.

Calculated values
As for the uncorrected formation energy: -16 kJ per mole of atoms. As for the volume: 23.93 A^3/atom.

Unit cell a=8.6083 b=8.6083 c=5.8131 alpha=90.00 beta=90.00 gamma=90.00
With the nearest neighbours (Å) after each atom.
Sites, in units of the cell vectors:
Ce (0.2500, 0.2500, 0.2500)  4 Si 2.85
Ce (0.7500, 0.7500, 0.7500)  4 Si 2.85
Pa (0.0604, 0.6370, 0.0926)  1 Pa 2.79, 5 Si 2.86-2.96
Pa (0.1370, 0.9396, 0.5926)  1 Pa 2.79, 5 Si 2.86-2.96
Pa (0.3630, 0.5604, 0.5926)  1 Pa 2.79, 5 Si 2.86-2.96
Pa (0.4396, 0.8630, 0.0926)  1 Pa 2.79, 5 Si 2.86-2.96
Pa (0.5604, 0.1370, 0.9074)  1 Pa 2.79, 5 Si 2.86-2.96
Pa (0.6370, 0.4396, 0.4074)  1 Pa 2.79, 5 Si 2.86-2.96
Pa (0.8630, 0.0604, 0.4074)  1 Pa 2.79, 5 Si 2.86-2.96
Pa (0.9396, 0.3630, 0.9074)  1 Pa 2.79, 5 Si 2.86-2.96
Si (0.0366, 0.6195, 0.5989)  1 Si 2.44
Si (0.1195, 0.9634, 0.0989)  1 Si 2.44
Si (0.3805, 0.5366, 0.0989)  1 Si 2.44
Si (0.4634, 0.8805, 0.5989)  1 Si 2.44
Si (0.5366, 0.1195, 0.4011)  1 Si 2.44
Si (0.6195, 0.4634, 0.9011)  1 Si 2.44
Si (0.8805, 0.0366, 0.9011)  1 Si 2.44
Si (0.9634, 0.3805, 0.4011)  1 Si 2.44

---

4.
Density functional theory data (PBE) for a relaxed CePa2Si crystal.

Calculated values
As for the energy above the most stable polymorph in this dataset: 0.326 eV per atom. As for the uncorrected formation energy: 7 kJ per mole of atoms. As for the volume: 22.55 A^3/atom.

Unit cell a=11.0532 b=11.0532 c=11.0532 alpha=16.07 beta=16.07 gamma=16.07
With the nearest neighbours (Å) after each atom.
Sites, in units of the cell vectors:
Ce (0.0000, 0.0000, 0.0000)  2 Pa 3.02, 6 Ce 3.09
Pa (0.0924, 0.0924, 0.0924)  3 Si 3.02, 1 Ce 3.02, 6 Pa 3.09
Pa (0.9076, 0.9076, 0.9076)  3 Si 3.02, 1 Ce 3.02, 6 Pa 3.09
Si (0.5000, 0.5000, 0.5000)  6 Pa 3.02, 6 Si 3.09

---

5.
Density functional theory data (PBE) for a relaxed CePa2Si crystal.

Calculated values
As for the energy above the most stable polymorph in this dataset: 0.000 eV per atom. As for the uncorrected formation energy: -25 kJ per mole of atoms. As for the volume: 22.44 A^3/atom.

Unit cell a=4.4776 b=4.4776 c=4.4781 alpha=90.00 beta=90.00 gamma=90.00
With the nearest neighbours (Å) after each atom.
Sites, in units of the cell vectors:
Ce (0.0000, 0.0000, 0.0000)  4 Si 3.17, 8 Pa 3.17
Pa (0.0000, 0.5000, 0.5000)  4 Pa 3.17, 4 Ce 3.17, 4 Si 3.17
Pa (0.5000, 0.0000, 0.5000)  4 Pa 3.17, 4 Ce 3.17, 4 Si 3.17
Si (0.5000, 0.5000, 0.0000)  4 Ce 3.17, 8 Pa 3.17

---

6.
Density functional theory data (PBE) for a relaxed CePa2Si crystal.

Calculated values
As for the energy above the most stable polymorph in this dataset: 0.143 eV per atom. As for the uncorrected formation energy: -11 kJ per mole of atoms. As for the volume: 23.63 A^3/atom.

Unit cell a=3.8090 b=3.8090 c=6.5142 alpha=90.00 beta=90.00 gamma=90.00
With the nearest neighbours (Å) after each atom.
Sites, in units of the cell vectors:
Ce (0.0000, 0.0000, 0.0000)  2 Si 3.26, 8 Pa 3.28
Pa (0.5000, 0.5000, 0.2887)  1 Pa 2.75, 4 Si 3.02
Pa (0.5000, 0.5000, 0.7113)  1 Pa 2.75, 4 Si 3.02
Si (0.0000, 0.0000, 0.5000)  8 Pa 3.02, 2 Ce 3.26

---

Number 1: Fermi-level density of states 19.69 states/eV/cell, magnetic moment 0.536 μB per atom. Number 2: Fermi-level density of states 52.42 states/eV/cell, magnetic moment 0.548 μB per atom. Number 3: Fermi-level density of states 34.20 states/eV/cell, magnetic moment 0.052 μB per atom. Number 4: Fermi-level density of states 8.54 states/eV/cell, magnetic moment 0.000 μB per atom. Number 5: Fermi-level density of states 10.25 states/eV/cell, magnetic moment 0.000 μB per atom. Number 6: Fermi-level density of states 11.38 states/eV/cell, magnetic moment 0.098 μB per atom.